No. 1
GGA-PBE BaHg2S3, optimized geometry; formation energy from raw total energies = -0.7032 eV/atom; symmetry = Cmc2_1; DOS at the Fermi energy = 0.00 states/eV/cell; energy = -0.234 Ry/atom; volume = 37.0 Å³ per atom; magnetic moment = 0.000 Bohr magnetons per cell; crystal system = orthorhombic
1.0
-9.648 4.194 -2.974
-0.329 -4.276 -4.962
-2.792 -2.662 5.304
Hg S Ba
4 6 2
direct
0.029 0.396 0.095 Hg
0.529 0.604 0.905 Hg
0.029 0.095 0.396 Hg
0.529 0.905 0.604 Hg
0.413 0.576 0.576 S
0.149 0.783 0.226 S
0.913 0.424 0.424 S
0.649 0.217 0.774 S
0.649 0.774 0.217 S
0.149 0.226 0.783 S
0.143 0.716 0.716 Ba
0.643 0.284 0.284 Ba

---

No. 2
GGA-PBE BaHg2S, optimized geometry; formation energy from raw total energies = -0.6738 eV/atom; symmetry = I-42d; DOS at the Fermi energy = 0.13 states/eV/cell; energy = -0.172 Ry/atom; volume = 31.4 Å³ per atom; magnetic moment = 0.000 Bohr magnetons per cell; crystal system = tetragonal
1.0
9.055 0.000 0.000
0.000 9.055 0.000
4.527 4.527 3.063
S Hg Ba
2 4 2
direct
0.250 0.750 0.500 S
0.500 0.500 0.000 S
0.167 0.625 0.250 Hg
0.375 0.417 0.750 Hg
0.583 0.125 0.250 Hg
0.875 0.833 0.750 Hg
0.750 0.250 0.500 Ba
0.000 0.000 0.000 Ba

---

No. 3
GGA-PBE Ba12Hg3S5, optimized geometry; formation energy from raw total energies = -1.0120 eV/atom; symmetry = Ia-3d; DOS at the Fermi energy = 78.85 states/eV/cell; energy = -0.238 Ry/atom; volume = 46.6 Å³ per atom; magnetic moment = 0.007 Bohr magnetons per cell; crystal system = cubic
1.0
16.913 0.000 0.000
-5.638 15.946 0.000
-5.638 -7.973 13.809
S Ba Hg
20 48 12
direct
0.375 0.250 0.125 S
0.500 0.000 0.000 S
0.250 0.375 0.625 S
0.500 0.500 0.500 S
0.000 0.500 0.500 S
0.250 0.875 0.125 S
0.875 0.250 0.625 S
0.875 0.625 0.750 S
0.000 0.000 0.000 S
0.000 0.500 0.000 S
0.125 0.750 0.375 S
0.125 0.375 0.250 S
0.750 0.625 0.375 S
0.750 0.125 0.875 S
0.500 0.500 0.000 S
0.000 0.000 0.500 S
0.375 0.125 0.750 S
0.625 0.750 0.875 S
0.500 0.000 0.500 S
0.625 0.875 0.250 S
0.177 0.088 0.712 Ba
0.288 0.876 0.966 Ba
0.466 0.677 0.090 Ba
0.910 0.088 0.876 Ba
0.590 0.624 0.412 Ba
0.624 0.590 0.912 Ba
0.712 0.588 0.177 Ba
0.712 0.124 0.034 Ba
0.088 0.910 0.376 Ba
0.410 0.376 0.588 Ba
0.412 0.124 0.590 Ba
0.034 0.410 0.823 Ba
0.677 0.466 0.590 Ba
0.177 0.090 0.966 Ba
0.124 0.712 0.534 Ba
0.823 0.912 0.288 Ba
0.212 0.677 0.088 Ba
0.323 0.788 0.412 Ba
0.588 0.876 0.410 Ba
0.323 0.534 0.410 Ba
0.966 0.376 0.288 Ba
0.912 0.823 0.788 Ba
0.590 0.966 0.677 Ba
0.410 0.034 0.323 Ba
0.034 0.624 0.712 Ba
0.966 0.590 0.177 Ba
0.788 0.323 0.912 Ba
0.376 0.966 0.788 Ba
0.624 0.034 0.212 Ba
0.088 0.177 0.212 Ba
0.288 0.412 0.823 Ba
0.466 0.788 0.876 Ba
0.876 0.288 0.466 Ba
0.090 0.912 0.124 Ba
0.677 0.212 0.588 Ba
0.823 0.910 0.034 Ba
0.412 0.288 0.323 Ba
0.910 0.823 0.534 Ba
0.788 0.466 0.376 Ba
0.212 0.534 0.624 Ba
0.090 0.177 0.466 Ba
0.124 0.412 0.090 Ba
0.534 0.323 0.910 Ba
0.876 0.588 0.910 Ba
0.534 0.212 0.124 Ba
0.912 0.090 0.624 Ba
0.588 0.712 0.677 Ba
0.376 0.410 0.088 Ba
0.875 0.125 0.250 Hg
0.375 0.625 0.250 Hg
0.125 0.875 0.750 Hg
0.750 0.875 0.625 Hg
0.125 0.250 0.875 Hg
0.250 0.625 0.875 Hg
0.625 0.375 0.750 Hg
0.875 0.750 0.125 Hg
0.750 0.375 0.125 Hg
0.375 0.750 0.625 Hg
0.625 0.250 0.375 Hg
0.250 0.125 0.375 Hg

---

No. 4
GGA-PBE BaHgS2, optimized geometry; formation energy from raw total energies = -1.1285 eV/atom; symmetry = R-3m; DOS at the Fermi energy = 0.00 states/eV/cell; energy = -0.275 Ry/atom; volume = 39.8 Å³ per atom; magnetic moment = 0.000 Bohr magnetons per cell; crystal system = trigonal
1.0
2.845 0.000 7.575
-1.422 2.464 7.575
-1.422 -2.464 7.575
Hg Ba S
1 1 2
direct
0.000 0.000 0.000 Hg
0.500 0.500 0.500 Ba
0.897 0.897 0.897 S
0.103 0.103 0.103 S

---

No. 5
GGA-PBE BaHg2S3, optimized geometry; formation energy from raw total energies = -0.7451 eV/atom; symmetry = Pmmn; energy = -0.237 Ry/atom; volume = 28.6 Å³ per atom; magnetic moment = 0.000 Bohr magnetons per cell; crystal system = orthorhombic
1.0
4.478 0.000 0.000
0.000 6.551 0.000
0.000 0.000 11.712
Ba Hg S
2 4 6
direct
0.653 0.500 0.500 Ba
0.347 0.000 0.000 Ba
0.196 0.000 0.666 Hg
0.804 0.500 0.834 Hg
0.196 0.000 0.334 Hg
0.804 0.500 0.166 Hg
0.475 0.500 0.000 S
0.525 0.000 0.500 S
0.163 0.500 0.316 S
0.837 0.000 0.816 S
0.837 0.000 0.184 S
0.163 0.500 0.684 S

---

No. 6
GGA-PBE Ba2HgSbS4, optimized geometry; formation energy from raw total energies = -0.9232 eV/atom; symmetry = C2/c; DOS at the Fermi energy = 3.16 states/eV/cell; energy = -0.296 Ry/atom; volume = 29.9 Å³ per atom; magnetic moment = 0.000 Bohr magnetons per cell; crystal system = monoclinic
1.0
8.439 -0.363 0.159
-0.369 8.438 0.159
-3.853 -3.855 6.581
Ba Sb Hg S
4 2 2 8
direct
0.500 0.500 0.000 Ba
0.500 0.000 0.000 Ba
0.500 0.000 0.500 Ba
0.000 0.000 0.500 Ba
0.000 0.000 0.000 Sb
0.500 0.500 0.500 Sb
0.000 0.500 0.000 Hg
0.000 0.500 0.500 Hg
0.784 0.253 0.972 S
0.717 0.728 0.478 S
0.216 0.747 0.028 S
0.283 0.272 0.522 S
0.772 0.783 0.022 S
0.753 0.284 0.472 S
0.247 0.716 0.528 S
0.228 0.217 0.978 S

---

No. 7
GGA-PBE Ba2SnHgS, optimized geometry; formation energy from raw total energies = -0.3074 eV/atom; symmetry = P4/mmm; DOS at the Fermi energy = 2.38 states/eV/cell; energy = -0.203 Ry/atom; volume = 43.3 Å³ per atom; magnetic moment = 0.000 Bohr magnetons per cell; crystal system = tetragonal
1.0
6.531 0.000 0.000
0.000 5.076 0.000
0.000 0.000 6.531
Ba Hg S Sn
2 1 1 1
direct
0.000 0.000 0.500 Ba
0.500 0.000 0.000 Ba
0.000 0.000 0.000 Hg
0.500 0.500 0.500 S
0.000 0.500 0.000 Sn

---

No. 8
GGA-PBE Ba2SnHgS5, optimized geometry; formation energy from raw total energies = -1.0678 eV/atom; symmetry = Cmc2_1; DOS at the Fermi energy = 1.23 states/eV/cell; energy = -0.314 Ry/atom; volume = 28.1 Å³ per atom; magnetic moment = 0.000 Bohr magnetons per cell; crystal system = orthorhombic
1.0
4.139 0.000 0.000
-2.070 9.765 0.000
0.000 0.000 12.496
Hg Ba S Sn
2 4 10 2
direct
0.237 0.474 0.043 Hg
0.763 0.526 0.543 Hg
0.124 0.247 0.303 Ba
0.876 0.753 0.180 Ba
0.876 0.753 0.803 Ba
0.124 0.247 0.680 Ba
0.638 0.276 0.492 S
0.681 0.362 0.872 S
0.319 0.638 0.372 S
0.963 0.925 0.551 S
0.496 0.992 0.277 S
0.708 0.415 0.163 S
0.037 0.075 0.051 S
0.504 0.008 0.777 S
0.292 0.585 0.663 S
0.362 0.724 0.992 S
0.433 0.865 0.443 Sn
0.567 0.135 0.943 Sn

---

No. 9
GGA-PBE BaSn2HgS6, optimized geometry; formation energy from raw total energies = -0.6395 eV/atom; symmetry = C2/c; energy = -0.304 Ry/atom; volume = 31.5 Å³ per atom; magnetic moment = 0.000 Bohr magnetons per cell; crystal system = monoclinic
1.0
-4.204 -5.589 1.386
4.404 -7.281 -4.581
3.326 -3.232 8.478
S Sn Hg Ba
12 4 2 2
direct
0.931 0.401 0.858 S
0.021 0.689 0.561 S
0.700 0.806 0.961 S
0.200 0.961 0.806 S
0.569 0.142 0.599 S
0.479 0.439 0.311 S
0.521 0.561 0.689 S
0.800 0.039 0.194 S
0.431 0.858 0.401 S
0.979 0.311 0.439 S
0.069 0.599 0.142 S
0.300 0.194 0.039 S
0.293 0.770 0.630 Sn
0.707 0.230 0.370 Sn
0.793 0.630 0.770 Sn
0.207 0.370 0.230 Sn
0.250 0.286 0.714 Hg
0.750 0.714 0.286 Hg
0.750 0.118 0.882 Ba
0.250 0.882 0.118 Ba

---

No. 10
GGA-PBE Ba2HgTeS5, optimized geometry; formation energy from raw total energies = -0.9594 eV/atom; symmetry = Cmc2_1; DOS at the Fermi energy = 0.20 states/eV/cell; energy = -0.299 Ry/atom; volume = 27.6 Å³ per atom; magnetic moment = 0.000 Bohr magnetons per cell; crystal system = orthorhombic
1.0
4.179 0.000 0.000
-2.090 9.230 0.000
0.000 0.000 12.885
S Ba Hg Te
10 4 2 2
direct
0.722 0.443 0.151 S
0.502 0.004 0.277 S
0.941 0.882 0.565 S
0.352 0.703 0.999 S
0.059 0.118 0.065 S
0.648 0.297 0.499 S
0.278 0.557 0.651 S
0.703 0.406 0.872 S
0.297 0.594 0.372 S
0.498 0.996 0.777 S
0.127 0.254 0.302 Ba
0.873 0.746 0.802 Ba
0.893 0.786 0.189 Ba
0.107 0.214 0.689 Ba
0.458 0.915 0.458 Hg
0.542 0.085 0.958 Hg
0.217 0.435 0.012 Te
0.783 0.565 0.512 Te

---

No. 11
GGA-PBE Ba2ThHgS5, optimized geometry; formation energy from raw total energies = -1.6535 eV/atom; symmetry = Cmc2_1; DOS at the Fermi energy = 0.00 states/eV/cell; energy = -0.385 Ry/atom; volume = 28.3 Å³ per atom; magnetic moment = 0.000 Bohr magnetons per cell; crystal system = orthorhombic
1.0
4.249 0.000 0.000
-2.125 9.215 0.000
0.000 0.000 13.024
S Ba Th Hg
10 4 2 2
direct
0.645 0.291 0.504 S
0.695 0.391 0.870 S
0.305 0.609 0.370 S
0.355 0.709 0.004 S
0.503 0.005 0.273 S
0.712 0.424 0.153 S
0.056 0.113 0.061 S
0.288 0.576 0.653 S
0.497 0.995 0.773 S
0.944 0.887 0.561 S
0.889 0.779 0.185 Ba
0.874 0.749 0.813 Ba
0.111 0.221 0.685 Ba
0.126 0.251 0.313 Ba
0.793 0.585 0.512 Th
0.207 0.415 0.012 Th
0.462 0.924 0.453 Hg
0.538 0.076 0.953 Hg

---

No. 12
GGA-PBE Ba2TlHgS5, optimized geometry; formation energy from raw total energies = -0.8848 eV/atom; symmetry = Cmc2_1; DOS at the Fermi energy = 10.65 states/eV/cell; energy = -0.287 Ry/atom; volume = 28.0 Å³ per atom; magnetic moment = 1.843 Bohr magnetons per cell; crystal system = orthorhombic
1.0
4.202 0.000 0.000
-2.101 9.643 0.000
0.000 0.000 12.441
S Ba Hg Tl
10 4 2 2
direct
0.495 0.990 0.270 S
0.959 0.918 0.568 S
0.633 0.265 0.490 S
0.308 0.616 0.391 S
0.041 0.082 0.068 S
0.692 0.384 0.891 S
0.283 0.565 0.658 S
0.717 0.435 0.158 S
0.367 0.735 0.990 S
0.505 0.010 0.770 S
0.885 0.770 0.176 Ba
0.878 0.756 0.799 Ba
0.115 0.230 0.676 Ba
0.122 0.244 0.299 Ba
0.764 0.529 0.518 Hg
0.236 0.471 0.018 Hg
0.442 0.884 0.454 Tl
0.558 0.116 0.954 Tl

---

No. 13
GGA-PBE BaTlHgS2, optimized geometry; formation energy from raw total energies = -0.7489 eV/atom; symmetry = P2/c; DOS at the Fermi energy = 3.20 states/eV/cell; energy = -0.244 Ry/atom; volume = 32.3 Å³ per atom; magnetic moment = 0.000 Bohr magnetons per cell; crystal system = monoclinic
1.0
9.687 0.000 0.000
0.000 4.325 -0.453
0.000 -1.912 7.905
Hg S Tl Ba
2 4 2 2
direct
0.000 0.000 0.000 Hg
0.000 0.000 0.500 Hg
0.681 0.682 0.023 S
0.319 0.318 0.977 S
0.319 0.682 0.523 S
0.681 0.318 0.477 S
0.817 0.500 0.250 Tl
0.183 0.500 0.750 Tl
0.412 0.000 0.250 Ba
0.588 0.000 0.750 Ba

---

No. 14
GGA-PBE Ba2UHgS5, optimized geometry; formation energy from raw total energies = -1.4558 eV/atom; symmetry = Cmc2_1; DOS at the Fermi energy = 8.87 states/eV/cell; energy = -0.402 Ry/atom; volume = 27.6 Å³ per atom; magnetic moment = 4.002 Bohr magnetons per cell; crystal system = orthorhombic
1.0
4.182 0.000 0.000
-2.091 9.147 0.000
0.000 0.000 12.970
S Ba U Hg
10 4 2 2
direct
0.060 0.120 0.061 S
0.351 0.702 0.004 S
0.288 0.576 0.649 S
0.503 0.007 0.271 S
0.497 0.993 0.771 S
0.304 0.608 0.375 S
0.696 0.392 0.875 S
0.712 0.424 0.149 S
0.940 0.880 0.561 S
0.649 0.298 0.504 S
0.872 0.743 0.812 Ba
0.113 0.225 0.688 Ba
0.128 0.257 0.312 Ba
0.887 0.775 0.188 Ba
0.207 0.414 0.013 U
0.793 0.586 0.513 U
0.459 0.917 0.450 Hg
0.541 0.083 0.950 Hg

---

No. 15
GGA-PBE Ba2UHgS6, optimized geometry; formation energy from raw total energies = -1.3252 eV/atom; symmetry = C2/m; energy = -0.393 Ry/atom; volume = 27.3 Å³ per atom; magnetic moment = 0.000 Bohr magnetons per cell; crystal system = monoclinic
1.0
-0.258 0.223 7.495
-7.086 -1.149 -0.210
4.474 -4.529 -3.378
Ba S Hg U
2 6 1 1
direct
0.757 0.748 0.496 Ba
0.243 0.252 0.504 Ba
0.669 0.257 0.514 S
0.331 0.743 0.486 S
0.814 0.304 0.099 S
0.814 0.795 0.099 S
0.186 0.205 0.901 S
0.186 0.696 0.901 S
0.500 0.000 0.000 Hg
0.000 0.500 0.000 U

---

No. 16
GGA-PBE BaZnHg2S, optimized geometry; formation energy from raw total energies = -0.4659 eV/atom; symmetry = P4/mmm; DOS at the Fermi energy = 2.12 states/eV/cell; energy = -0.151 Ry/atom; volume = 28.6 Å³ per atom; magnetic moment = 0.000 Bohr magnetons per cell; crystal system = tetragonal
1.0
5.078 0.000 0.000
0.000 5.546 0.000
0.000 0.000 5.078
Hg S Ba Zn
2 1 1 1
direct
0.000 0.000 0.500 Hg
0.500 0.000 0.000 Hg
0.000 0.500 0.000 S
0.500 0.500 0.500 Ba
0.000 0.000 0.000 Zn

---

No. 17
GGA-PBE BaHgSb2, optimized geometry; formation energy from raw total energies = -0.3913 eV/atom; symmetry = P4mm; DOS at the Fermi energy = 1.09 states/eV/cell; energy = -0.221 Ry/atom; volume = 32.9 Å³ per atom; magnetic moment = 0.000 Bohr magnetons per cell; crystal system = tetragonal
1.0
-3.109 -2.553 -1.231
1.692 -0.206 -3.846
4.013 -5.892 2.081
Sb Hg Ba
2 1 1
direct
0.500 0.500 0.183 Sb
0.000 0.000 0.037 Sb
0.500 0.500 0.775 Hg
0.000 0.000 0.505 Ba

---

No. 18
GGA-PBE BaHgSb2, optimized geometry; formation energy from raw total energies = -0.1681 eV/atom; symmetry = Fm-3m; DOS at the Fermi energy = 4.31 states/eV/cell; energy = -0.205 Ry/atom; volume = 32.2 Å³ per atom; magnetic moment = 0.000 Bohr magnetons per cell; crystal system = cubic
1.0
4.085 -3.656 1.445
-1.183 -4.369 3.414
-0.059 -5.278 -2.068
Ba Sb Hg
1 2 1
direct
0.000 0.000 0.000 Ba
0.250 0.250 0.250 Sb
0.750 0.750 0.750 Sb
0.500 0.500 0.500 Hg